CaEuNi: relaxed, PBE-GGA.

Cell: 4.0341 4.0341 6.6075 Å, 90.00 90.00 120.00°
Space group P3m1 (No. 156)
Unique sites:
Ca: 0.0000 0.0000 0.0000 (multiplicity 1)
Eu: 0.6667 0.3333 0.5227 (multiplicity 1)
Ni: 0.3333 0.6667 0.7609 (multiplicity 1)

Output
For the size of the total moment, the calculation gives 7.071 Bohr magnetons per cell. The excess energy over the best structure of this formula in the dataset is 2.6 kJ per mole of atoms. Its crystal system is trigonal. The formation energy is -0.005 eV per atom. The value obtained for the volume is 31.0 A^3/atom.